# RuRh

A relaxed structure of RuRh (GGA-PBEsol, Alexandria).

Unit cell a=2.639 b=4.135 c=5.136 alpha=90.00 beta=104.89 gamma=90.00
Fractional positions:
Rh1 0.572 0.750 0.144
Ru1 0.173 0.250 0.346
Rh2 0.428 0.250 0.856
Ru2 0.827 0.750 0.654

Values from the calculation:
Symmetry: No. 63
Fermi-level density of states, states/eV/f.u.: 1.94
Formation energy from the elements, eV/atom: 0.160



# V7S8

A relaxed structure of V7S8 (GGA-PBEsol, Alexandria).

Unit cell a=6.256 b=6.254 c=6.735 alpha=76.51 beta=62.32 gamma=59.99
Fractional positions:
V1 0.000 0.500 0.000
S1 0.542 0.675 0.242
S2 0.541 0.164 0.245
V2 0.253 0.998 0.496
V3 0.253 0.500 0.500
S3 0.050 0.164 0.245
S4 0.458 0.325 0.758
S5 0.459 0.836 0.755
V4 0.747 0.500 0.500
V5 0.000 0.000 0.000
V6 0.500 0.500 0.000
V7 0.747 0.002 0.504
S6 0.960 0.334 0.747
S7 0.950 0.836 0.755
S8 0.040 0.666 0.253

Values from the calculation:
Energy above the lowest structure with this stoichiometry, eV/atom: 0.000
Symmetry: No. 12
Fermi-level density of states, states/eV/f.u.: 9.98
Uncorrected formation energy, eV/atom: -1.047



# B2TePbSe

A relaxed structure of B2TePbSe (GGA-PBEsol, Alexandria).

Unit cell a=4.335 b=4.335 c=5.805 alpha=90.00 beta=90.00 gamma=90.00
Fractional positions:
Se1 0.000 0.000 0.000
B1 0.000 0.500 0.000
B2 0.500 0.000 0.000
Te1 0.000 0.000 0.500
Pb1 0.500 0.500 0.500

Values from the calculation:
Symmetry: No. 123
Fermi-level density of states, states/eV/f.u.: 2.81
Uncorrected formation energy, eV/atom: 1.434



# GaSi2Sb2

A relaxed structure of GaSi2Sb2 (GGA-PBEsol, Alexandria).

Unit cell a=3.768 b=7.408 c=7.408 alpha=90.00 beta=90.00 gamma=90.00
Fractional positions:
Ga1 0.000 0.500 0.500
Sb1 0.500 0.326 0.174
Sb2 0.500 0.826 0.326
Si1 0.000 0.124 0.376
Sb3 0.500 0.674 0.826
Ga2 0.000 0.000 0.000
Sb4 0.500 0.174 0.674
Si2 0.000 0.876 0.624
Si3 0.000 0.624 0.124
Si4 0.000 0.376 0.876

Values from the calculation:
Symmetry: No. 127
Fermi-level density of states, states/eV/f.u.: 2.60
Uncorrected formation energy, eV/atom: 0.311



# FeSbSeI2

A relaxed structure of FeSbSeI2 (GGA-PBEsol, Alexandria).

Unit cell a=5.154 b=4.993 c=4.993 alpha=90.00 beta=90.00 gamma=90.00
Fractional positions:
I1 0.000 0.000 0.500
Fe1 0.000 0.000 0.000
Sb1 0.500 0.000 0.000
I2 0.000 0.500 0.000
Se1 0.500 0.500 0.500

Values from the calculation:
Symmetry: No. 123
Fermi-level density of states, states/eV/f.u.: 5.31
Uncorrected formation energy, eV/atom: 0.460



# LaBRh3

A relaxed structure of LaBRh3 (GGA-PBEsol, Alexandria).

Unit cell a=4.218 b=4.218 c=4.218 alpha=90.00 beta=90.00 gamma=90.00
Fractional positions:
Rh1 0.500 0.500 0.000
B1 0.500 0.500 0.500
Rh2 0.500 0.000 0.500
La1 0.000 0.000 0.000
Rh3 0.000 0.500 0.500

Values from the calculation:
Symmetry: No. 221
Fermi-level density of states, states/eV/f.u.: 4.03
Formation energy from the elements, eV/atom: -0.683



# CaAu2

A relaxed structure of CaAu2 (GGA-PBEsol, Alexandria).

Unit cell a=3.730 b=4.669 c=7.299 alpha=90.00 beta=104.80 gamma=90.00
Fractional positions:
Au1 0.569 0.250 0.138
Ca1 0.899 0.250 0.797
Au2 0.431 0.750 0.862
Ca2 0.101 0.750 0.203
Au3 0.230 0.250 0.460
Au4 0.770 0.750 0.540

Values from the calculation:
Symmetry: No. 63
Fermi-level density of states, states/eV/f.u.: 1.07
Formation energy from the elements, eV/atom: -0.586



# Sn3NF

A relaxed structure of Sn3NF (GGA-PBEsol, Alexandria).

Unit cell a=4.727 b=4.727 c=4.727 alpha=90.00 beta=90.00 gamma=90.00
Fractional positions:
Sn1 0.000 0.500 0.000
F1 0.500 0.500 0.500
Sn2 0.000 0.000 0.500
Sn3 0.500 0.000 0.000
N1 0.000 0.000 0.000

Values from the calculation:
Symmetry: No. 221
Fermi-level density of states, states/eV/f.u.: 4.70
Uncorrected formation energy, eV/atom: 0.175



# Mg2SbTe

A relaxed structure of Mg2SbTe (GGA-PBEsol, Alexandria).

Unit cell a=3.201 b=5.498 c=5.498 alpha=90.00 beta=90.00 gamma=90.00
Fractional positions:
Te1 0.500 0.000 0.000
Mg1 0.000 0.500 0.000
Mg2 0.000 0.000 0.500
Sb1 0.500 0.500 0.500

Values from the calculation:
Energy above the lowest structure with this stoichiometry, eV/atom: 0.232
Symmetry: No. 123
Fermi-level density of states, states/eV/f.u.: 1.86
Uncorrected formation energy, eV/atom: -0.246



# SrCdAg2

A relaxed structure of SrCdAg2 (GGA-PBEsol, Alexandria).

Unit cell a=4.745 b=4.745 c=5.769 alpha=65.72 beta=65.72 gamma=60.00
Fractional positions:
Ag1 0.795 0.795 0.615
Cd1 0.500 0.500 0.500
Sr1 0.000 0.000 0.000
Ag2 0.205 0.205 0.385

Values from the calculation:
Symmetry: No. 166
Fermi-level density of states, states/eV/f.u.: 1.70
Formation energy from the elements, eV/atom: -0.222



# Mg2FeOs

A relaxed structure of Mg2FeOs (GGA-PBEsol, Alexandria).

Unit cell a=4.360 b=4.360 c=4.360 alpha=60.00 beta=60.00 gamma=60.00
Fractional positions:
Mg1 0.000 0.000 0.000
Os1 0.250 0.250 0.250
Fe1 0.500 0.500 0.500
Mg2 0.750 0.750 0.750

Values from the calculation:
Energy above the lowest structure with this stoichiometry, eV/atom: 0.000
Symmetry: No. 216
Fermi-level density of states, states/eV/f.u.: 3.16
Formation energy from the elements, eV/atom: 0.287



# YTiNbNi2

A relaxed structure of YTiNbNi2 (GGA-PBEsol, Alexandria).

Unit cell a=4.517 b=4.517 c=5.052 alpha=90.00 beta=90.00 gamma=90.00
Fractional positions:
Ni1 0.000 0.500 0.000
Y1 0.000 0.000 0.500
Ti1 0.500 0.500 0.500
Ni2 0.500 0.000 0.000
Nb1 0.000 0.000 0.000

Values from the calculation:
Symmetry: No. 123
Fermi-level density of states, states/eV/f.u.: 5.17
Formation energy from the elements, eV/atom: 1.138



# SrLiAg4

A relaxed structure of SrLiAg4 (GGA-PBEsol, Alexandria).

Unit cell a=5.602 b=5.602 c=5.602 alpha=60.00 beta=60.00 gamma=60.00
Fractional positions:
Ag1 0.376 0.376 0.873
Sr1 0.000 0.000 0.000
Ag2 0.873 0.376 0.376
Ag3 0.376 0.873 0.376
Li1 0.750 0.750 0.750
Ag4 0.376 0.376 0.376

Values from the calculation:
Symmetry: No. 216
Fermi-level density of states, states/eV/f.u.: 2.65
Formation energy from the elements, eV/atom: -0.185



# NaSiOsPt2

A relaxed structure of NaSiOsPt2 (GGA-PBEsol, Alexandria).

Unit cell a=4.526 b=4.889 c=4.889 alpha=90.00 beta=90.00 gamma=90.00
Fractional positions:
Pt1 0.000 0.500 0.000
Si1 0.500 0.000 0.000
Pt2 0.000 0.000 0.500
Os1 0.000 0.000 0.000
Na1 0.500 0.500 0.500

Values from the calculation:
Symmetry: No. 123
Fermi-level density of states, states/eV/f.u.: 5.13
Uncorrected formation energy, eV/atom: 0.714



# Cr3GeI

A relaxed structure of Cr3GeI (GGA-PBEsol, Alexandria).

Unit cell a=4.847 b=4.847 c=4.847 alpha=90.00 beta=90.00 gamma=90.00
Fractional positions:
Cr1 0.500 0.000 0.000
I1 0.500 0.500 0.500
Cr2 0.000 0.500 0.000
Cr3 0.000 0.000 0.500
Ge1 0.000 0.000 0.000

Values from the calculation:
Symmetry: No. 221
Fermi-level density of states, states/eV/f.u.: 2.08
Uncorrected formation energy, eV/atom: 0.992



# LiSc2Pt

A relaxed structure of LiSc2Pt (GGA-PBEsol, Alexandria).

Unit cell a=3.874 b=3.874 c=7.592 alpha=75.22 beta=75.22 gamma=60.00
Fractional positions:
Sc1 0.272 0.272 0.184
Pt1 0.000 0.000 0.000
Sc2 0.728 0.728 0.816
Li1 0.500 0.500 0.500

Values from the calculation:
Energy above the lowest structure with this stoichiometry, eV/atom: 0.370
Symmetry: No. 166
Fermi-level density of states, states/eV/f.u.: 3.93
Formation energy from the elements, eV/atom: -0.353



# TlSiO3

A relaxed structure of TlSiO3 (GGA-PBEsol, Alexandria).

Unit cell a=3.663 b=3.663 c=3.663 alpha=90.00 beta=90.00 gamma=90.00
Fractional positions:
O1 0.000 0.500 0.500
Si1 0.500 0.500 0.500
O2 0.500 0.000 0.500
O3 0.500 0.500 0.000
Tl1 0.000 0.000 0.000

Values from the calculation:
Symmetry: No. 221
Fermi-level density of states, states/eV/f.u.: 1.08
Uncorrected formation energy, eV/atom: -1.578



# RhSeO2

A relaxed structure of RhSeO2 (GGA-PBEsol, Alexandria).

Unit cell a=4.924 b=4.924 c=4.924 alpha=106.58 beta=106.58 gamma=115.42
Fractional positions:
Se1 0.750 0.250 0.500
O1 0.625 0.100 0.975
O2 0.900 0.875 0.525
O3 0.350 0.375 0.475
Rh1 0.000 0.000 0.000
O4 0.125 0.650 0.025
Se2 0.500 0.500 0.000
Rh2 0.250 0.750 0.500

Values from the calculation:
Symmetry: No. 122
Fermi-level density of states, states/eV/f.u.: 1.92
Uncorrected formation energy, eV/atom: 0.086



# Be2OsRu

A relaxed structure of Be2OsRu (GGA-PBEsol, Alexandria).

Unit cell a=2.822 b=3.699 c=4.359 alpha=90.00 beta=90.00 gamma=90.00
Fractional positions:
Ru1 0.000 0.500 0.500
Be1 0.500 0.000 0.500
Os1 0.500 0.500 0.000
Be2 0.000 0.000 0.000

Values from the calculation:
Energy above the lowest structure with this stoichiometry, eV/atom: 0.295
Symmetry: No. 47
Fermi-level density of states, states/eV/f.u.: 2.54
Formation energy from the elements, eV/atom: 0.075



# Ca2WSe

A relaxed structure of Ca2WSe (GGA-PBEsol, Alexandria).

Unit cell a=3.087 b=5.380 c=5.380 alpha=108.43 beta=90.00 gamma=90.00
Fractional positions:
Ca1 0.000 0.500 0.000
Ca2 0.000 0.000 0.500
Se1 0.500 0.500 0.500
W1 0.500 0.000 0.000

Values from the calculation:
Symmetry: No. 65
Fermi-level density of states, states/eV/f.u.: 4.22
Uncorrected formation energy, eV/atom: 0.275



# LiYIn2

A relaxed structure of LiYIn2 (GGA-PBEsol, Alexandria).

Unit cell a=3.759 b=3.759 c=6.694 alpha=90.00 beta=90.00 gamma=90.00
Fractional positions:
In1 0.000 0.000 0.014
In2 0.500 0.500 0.273
Y1 0.500 0.500 0.753
Li1 0.000 0.000 0.460

Values from the calculation:
Symmetry: No. 99
Fermi-level density of states, states/eV/f.u.: 3.27
Formation energy from the elements, eV/atom: -0.211



# NdTeF

A relaxed structure of NdTeF (GGA-PBEsol, Alexandria).

Unit cell a=4.149 b=4.149 c=7.503 alpha=90.00 beta=90.00 gamma=90.00
Fractional positions:
F1 0.000 0.000 0.000
Te1 0.000 0.500 0.361
Nd1 0.000 0.500 0.803
F2 0.500 0.500 0.000
Te2 0.500 0.000 0.639
Nd2 0.500 0.000 0.197

Values from the calculation:
Symmetry: No. 129
Fermi-level density of states, states/eV/f.u.: 0.04
Uncorrected formation energy, eV/atom: -2.629



# KRuSe2

A relaxed structure of KRuSe2 (GGA-PBEsol, Alexandria).

Unit cell a=3.060 b=3.060 c=9.924 alpha=81.13 beta=81.13 gamma=60.00
Fractional positions:
Se1 0.079 0.079 0.762
Se2 0.921 0.921 0.238
Ru1 0.000 0.000 0.000
K1 0.500 0.500 0.500

Values from the calculation:
Symmetry: No. 166
Fermi-level density of states, states/eV/f.u.: 2.98
Uncorrected formation energy, eV/atom: 0.264



# In3PN

A relaxed structure of In3PN (GGA-PBEsol, Alexandria).

Unit cell a=5.133 b=5.133 c=5.133 alpha=90.00 beta=90.00 gamma=90.00
Fractional positions:
In1 0.000 0.000 0.500
P1 0.000 0.000 0.000
N1 0.500 0.500 0.500
In2 0.000 0.500 0.000
In3 0.500 0.000 0.000

Values from the calculation:
Symmetry: No. 221
Fermi-level density of states, states/eV/f.u.: 3.56
Uncorrected formation energy, eV/atom: 1.326



# BaCaCu2

A relaxed structure of BaCaCu2 (GGA-PBEsol, Alexandria).

Unit cell a=4.258 b=4.310 c=6.236 alpha=90.00 beta=109.96 gamma=90.00
Fractional positions:
Cu1 0.814 0.500 0.627
Ca1 0.247 0.000 0.493
Cu2 0.917 0.000 0.834
Ba1 0.523 0.500 0.046

Values from the calculation:
Energy above the lowest structure with this stoichiometry, eV/atom: 0.000
Symmetry: No. 38
Fermi-level density of states, states/eV/f.u.: 2.33
Formation energy from the elements, eV/atom: -0.001



# Fe2PRh

A relaxed structure of Fe2PRh (GGA-PBEsol, Alexandria).

Unit cell a=2.783 b=2.783 c=5.959 alpha=90.00 beta=90.00 gamma=90.00
Fractional positions:
Rh1 0.500 0.500 0.731
Fe1 0.500 0.500 0.279
Fe2 0.000 0.000 0.020
P1 0.000 0.000 0.470

Values from the calculation:
Symmetry: No. 99
Fermi-level density of states, states/eV/f.u.: 3.39
Formation energy from the elements, eV/atom: -0.230



# ScHgTe2

A relaxed structure of ScHgTe2 (GGA-PBEsol, Alexandria).

Unit cell a=5.204 b=5.204 c=5.204 alpha=60.00 beta=60.00 gamma=60.00
Fractional positions:
Hg1 0.500 0.500 0.500
Te1 0.000 0.000 0.000
Te2 0.750 0.750 0.750
Sc1 0.250 0.250 0.250

Values from the calculation:
Symmetry: No. 216
Fermi-level density of states, states/eV/f.u.: 2.03
Uncorrected formation energy, eV/atom: -0.230



# Cs2PrAgCl6

A relaxed structure of Cs2PrAgCl6 (GGA-PBEsol, Alexandria).

Unit cell a=7.615 b=7.615 c=7.615 alpha=60.00 beta=60.00 gamma=60.00
Fractional positions:
Cl1 0.752 0.248 0.752
Cl2 0.248 0.752 0.752
Cl3 0.752 0.752 0.248
Cs1 0.250 0.250 0.250
Pr1 0.500 0.500 0.500
Cs2 0.750 0.750 0.750
Cl4 0.248 0.752 0.248
Ag1 0.000 0.000 0.000
Cl5 0.752 0.248 0.248
Cl6 0.248 0.248 0.752

Values from the calculation:
Symmetry: No. 225
Fermi-level density of states, states/eV/f.u.: 0.00
Uncorrected formation energy, eV/atom: -1.807